The following is a PBE-GGA calculation of a geometry-optimized CdAg2I4 structure, from Alexandria via LeMat-Bulk.

Output
Its calculated volume is 278.0 Å³/cell. The uncorrected formation energy comes out at -405 meV per atom. The spin magnetization comes out at 0.00 μB/f.u. The total energy is -2.236 eV per atom.

Cell lengths 7.9172, 7.9172, 7.9172 Å; angles 130.80, 130.80, 72.13 degrees
Closest atoms and distances in Å follow each position.
Positions (direct):
Cd1 0.0000 0.0000 0.0000  4 I 2.84
Ag1 0.7500 0.2500 0.5000  4 I 2.86
Ag2 0.2500 0.7500 0.5000  4 I 2.86
I1 0.8630 0.3768 0.0000  1 Cd 2.84, 2 Ag 2.86
I2 0.3768 0.8630 0.0000  1 Cd 2.84, 2 Ag 2.86
I3 0.1370 0.1370 0.5139  1 Cd 2.84, 2 Ag 2.86
I4 0.6232 0.6232 0.4861  1 Cd 2.84, 2 Ag 2.86